First-principles (GGA+U) data for crystalline CaNd2WO8 at its relaxed geometry, as listed in Alexandria via LeMat-Bulk.

Calculated values
* total DFT energy (no corrections): -0.5434 Ry/atom

Lattice parameters (Å, degrees): 4.3369 5.4392 6.9369 91.79 105.06 90.25
Fractional coordinates of all 12 atoms:
Ca 0.0000 0.0000 0.0000
Nd 0.3747 0.4906 0.7092
Nd 0.6253 0.5094 0.2908
W 0.0000 0.0000 0.5000
O 0.1615 0.5486 0.0023
O 0.1936 0.7080 0.4104
O 0.2051 0.2288 0.3651
O 0.3236 0.0454 0.7612
O 0.6764 0.9546 0.2388
O 0.7949 0.7712 0.6349
O 0.8064 0.2920 0.5896
O 0.8385 0.4514 0.9977